An optimized crystal structure of Cs3KTl, computed with PBE.

Values from the calculation:
- Calculated density: 2.0 g cm⁻³
- Relative energy among the computed polymorphs: 1.98 eV/f.u.
- Energy of formation from the pure elements: 0.368 eV/atom
- D(E_F): 8.76 states/eV per cell

Lattice parameters (Å, degrees): 8.144 8.144 8.144 90.00 90.00 90.00
Each line ends with the local moment (μB).
Positions (direct):
Cs 0.000 0.000 0.500  0.00
K 0.000 0.000 0.000  0.00
Cs 0.000 0.500 0.000  0.00
Cs 0.500 0.000 0.000  0.00
Tl 0.500 0.500 0.500  0.08